1.
DFT (PBE-GGA) results for a relaxed NaOsW3 crystal.

Lattice parameters (Å, degrees): 4.825 4.825 4.825 90.00 90.00 90.00
Sites, in units of the cell vectors:
Na  0.000  0.000  0.000
Os  0.500  0.500  0.500
W  0.000  0.500  0.500
W  0.500  0.000  0.500
W  0.500  0.500  0.000

- ΔE_f: 1.927 eV/atom
- Offset from the most stable computed form: 0.0 meV per atom
- V: 112 Å³/cell

***

2.
DFT (PBE-GGA) results for a relaxed Ho2LuAu crystal.

Lattice parameters (Å, degrees): 10.928 10.928 10.928 19.08 19.08 19.08
Sites, in units of the cell vectors:
Ho  0.104  0.104  0.104
Ho  0.896  0.896  0.896
Lu  0.000  0.000  0.000
Au  0.500  0.500  0.500

- ΔE_f: -0.032 eV/atom
- Offset from the most stable computed form: 354.7 meV per atom
- V: 122 Å³/cell

***

3.
DFT (PBE-GGA) results for a relaxed LaMg2Te crystal.

Lattice parameters (Å, degrees): 4.014 4.014 7.012 90.00 90.00 90.00
Sites, in units of the cell vectors:
La  0.000  0.000  0.000
Mg  0.000  0.000  0.496
Mg  0.500  0.500  0.306
Te  0.500  0.500  0.753

- V: 113 Å³/cell
- Formation energy (no corrections): -532 meV per atom

***

4.
DFT (PBE-GGA) results for a relaxed TcSbHI2 crystal.

Lattice parameters (Å, degrees): 5.263 5.263 3.797 90.00 90.00 90.00
Sites, in units of the cell vectors:
Tc  0.000  0.000  0.000
Sb  0.500  0.500  0.000
H  0.500  0.500  0.500
I  0.000  0.500  0.500
I  0.500  0.000  0.500

- Offset from the most stable computed form: 281.0 meV per atom
- V: 105 Å³/cell

***

5.
DFT (PBE-GGA) results for a relaxed YGeTe2N crystal.

Lattice parameters (Å, degrees): 5.939 5.939 4.317 90.00 90.00 90.00
Sites, in units of the cell vectors:
Y  0.000  0.000  0.000
Ge  0.500  0.500  0.500
Te  0.000  0.500  0.000
Te  0.500  0.000  0.000
N  0.000  0.000  0.500

- Offset from the most stable computed form: 261.2 meV per atom
- V: 152 Å³/cell
- Formation energy (no corrections): 325 meV per atom

***

6.
DFT (PBE-GGA) results for a relaxed VReNiS2 crystal.

Lattice parameters (Å, degrees): 4.497 4.497 4.812 90.00 90.00 90.00
Sites, in units of the cell vectors:
V  0.000  0.000  0.000
Re  0.000  0.000  0.500
Ni  0.500  0.500  0.000
S  0.000  0.500  0.500
S  0.500  0.000  0.500

- Offset from the most stable computed form: 109.4 meV per atom
- V: 97 Å³/cell
- Formation energy (no corrections): 1097 meV per atom

***

7.
DFT (PBE-GGA) results for a relaxed Th2Zn2SnRh5 crystal.

Lattice parameters (Å, degrees): 9.809 9.809 3.737 90.00 90.00 90.00
Sites, in units of the cell vectors:
Th  0.176  0.324  0.000
Th  0.324  0.824  0.000
Th  0.676  0.176  0.000
Th  0.824  0.676  0.000
Zn  0.120  0.620  0.000
Zn  0.380  0.120  0.000
Zn  0.620  0.880  0.000
Zn  0.880  0.380  0.000
Sn  0.000  0.000  0.000
Sn  0.500  0.500  0.000
Rh  0.000  0.500  0.500
Rh  0.073  0.793  0.500
Rh  0.207  0.073  0.500
Rh  0.293  0.573  0.500
Rh  0.427  0.293  0.500
Rh  0.500  0.000  0.500
Rh  0.573  0.707  0.500
Rh  0.707  0.427  0.500
Rh  0.793  0.927  0.500
Rh  0.927  0.207  0.500

- ΔE_f: -0.718 eV/atom
- V: 360 Å³/cell

***

8.
DFT (PBE-GGA) results for a relaxed CdPt3Rh crystal.

Lattice parameters (Å, degrees): 10.362 10.362 3.997 90.00 90.00 158.07
Sites, in units of the cell vectors:
Cd  0.150  0.850  0.750
Cd  0.850  0.150  0.250
Pt  0.051  0.949  0.250
Pt  0.249  0.751  0.250
Pt  0.452  0.548  0.250
Pt  0.548  0.452  0.750
Pt  0.751  0.249  0.750
Pt  0.949  0.051  0.750
Rh  0.350  0.650  0.750
Rh  0.650  0.350  0.250

- ΔE_f: -0.100 eV/atom
- Offset from the most stable computed form: 0.0 meV per atom
- V: 160 Å³/cell

***

9.
DFT (PBE-GGA) results for a relaxed NdSmY2 crystal.

Lattice parameters (Å, degrees): 12.768 12.768 12.768 15.85 15.85 15.85
Sites, in units of the cell vectors:
Nd  0.000  0.000  0.000
Sm  0.500  0.500  0.500
Y  0.411  0.411  0.411
Y  0.589  0.589  0.589

- ΔE_f: 0.191 eV/atom
- Offset from the most stable computed form: 179.8 meV per atom
- V: 135 Å³/cell

***

10.
DFT (PBE-GGA) results for a relaxed Ac3Gd crystal.

Lattice parameters (Å, degrees): 6.203 6.203 6.203 60.00 60.00 60.00
Sites, in units of the cell vectors:
Ac  0.000  0.000  0.000
Ac  0.250  0.250  0.250
Ac  0.750  0.750  0.750
Gd  0.500  0.500  0.500

- ΔE_f: 0.128 eV/atom
- V: 169 Å³/cell

***

11.
DFT (PBE-GGA) results for a relaxed Pm4SnTe2S crystal.

Lattice parameters (Å, degrees): 7.510 4.356 7.711 90.00 109.19 90.00
Sites, in units of the cell vectors:
Pm  0.229  0.000  0.220
Pm  0.245  0.500  0.768
Pm  0.755  0.500  0.232
Pm  0.771  0.000  0.780
Sn  0.500  0.000  0.000
Te  0.000  0.000  0.500
Te  0.500  0.500  0.500
S  0.000  0.500  0.000

- V: 238 Å³/cell
- Formation energy (no corrections): -1406 meV per atom

***

12.
DFT (PBE-GGA) results for a relaxed In5CuPd6 crystal.

Lattice parameters (Å, degrees): 8.008 8.008 4.607 106.63 106.63 120.40
Sites, in units of the cell vectors:
In  0.000  0.000  0.000
In  0.168  0.832  0.500
In  0.339  0.661  0.000
In  0.661  0.339  0.000
In  0.832  0.168  0.500
Cu  0.500  0.500  0.500
Pd  0.090  0.416  0.253
Pd  0.251  0.251  0.749
Pd  0.416  0.090  0.253
Pd  0.584  0.910  0.747
Pd  0.749  0.749  0.251
Pd  0.910  0.584  0.747

- ΔE_f: -0.450 eV/atom
- V: 208 Å³/cell

***

13.
DFT (PBE-GGA) results for a relaxed V2CuPd4 crystal.

Lattice parameters (Å, degrees): 6.935 6.935 6.935 141.09 141.09 56.21
Sites, in units of the cell vectors:
V  0.108  0.108  0.000
V  0.892  0.892  0.000
Cu  0.500  0.500  0.000
Pd  0.000  0.500  0.500
Pd  0.298  0.298  0.000
Pd  0.500  0.000  0.500
Pd  0.702  0.702  0.000

- ΔE_f: 0.659 eV/atom
- Offset from the most stable computed form: 657.5 meV per atom
- V: 131 Å³/cell

***

14.
DFT (PBE-GGA) results for a relaxed Pa2CuSi3Ni4 crystal.

Lattice parameters (Å, degrees): 3.954 3.954 9.586 90.00 90.00 90.00
Sites, in units of the cell vectors:
Pa  0.000  0.500  0.249
Pa  0.500  0.000  0.751
Cu  0.500  0.500  0.000
Si  0.000  0.000  0.000
Si  0.000  0.500  0.626
Si  0.500  0.000  0.374
Ni  0.000  0.000  0.500
Ni  0.000  0.500  0.862
Ni  0.500  0.000  0.138
Ni  0.500  0.500  0.500

- V: 150 Å³/cell
- Formation energy (no corrections): -655 meV per atom

***

15.
DFT (PBE-GGA) results for a relaxed DyMnBe crystal.

Lattice parameters (Å, degrees): 10.027 9.340 4.970 82.95 67.58 29.46
Sites, in units of the cell vectors:
Dy  0.042  0.708  0.042
Dy  0.292  0.958  0.292
Dy  0.708  0.042  0.708
Dy  0.958  0.292  0.958
Mn  0.315  0.315  0.435
Mn  0.435  0.435  0.315
Mn  0.565  0.565  0.685
Mn  0.685  0.685  0.565
Be  0.002  0.002  0.248
Be  0.248  0.248  0.002
Be  0.752  0.752  0.998
Be  0.998  0.998  0.752

- ΔE_f: 0.450 eV/atom
- V: 188 Å³/cell

***

16.
DFT (PBE-GGA) results for a relaxed Hf2BPt crystal.

Lattice parameters (Å, degrees): 5.714 5.714 5.714 109.21 109.21 110.00
Sites, in units of the cell vectors:
Hf  0.079  0.625  0.954
Hf  0.375  0.329  0.454
Hf  0.671  0.125  0.046
Hf  0.875  0.921  0.546
B  0.000  0.000  0.000
B  0.750  0.250  0.500
Pt  0.250  0.750  0.500
Pt  0.500  0.500  0.000

- ΔE_f: -0.225 eV/atom
- V: 144 Å³/cell

***

17.
DFT (PBE-GGA) results for a relaxed Mg2ZrS crystal.

Lattice parameters (Å, degrees): 4.946 4.946 4.946 60.00 60.00 60.00
Sites, in units of the cell vectors:
Mg  0.250  0.250  0.250
Mg  0.750  0.750  0.750
Zr  0.000  0.000  0.000
S  0.500  0.500  0.500

- Offset from the most stable computed form: 682.1 meV per atom
- V: 86 Å³/cell
- Formation energy (no corrections): 370 meV per atom

***

18.
DFT (PBE-GGA) results for a relaxed TbTcN2 crystal.

Lattice parameters (Å, degrees): 5.838 5.838 5.838 31.86 31.86 31.86
Sites, in units of the cell vectors:
Tb  0.000  0.000  0.000
Tc  0.177  0.177  0.177
N  0.424  0.424  0.424
N  0.575  0.575  0.575

- Offset from the most stable computed form: 509.7 meV per atom
- V: 49 Å³/cell
- Formation energy (no corrections): -368 meV per atom

***

19.
DFT (PBE-GGA) results for a relaxed Dy2CoPd crystal.

Lattice parameters (Å, degrees): 8.939 8.939 8.939 22.66 22.66 22.66
Sites, in units of the cell vectors:
Dy  0.102  0.102  0.102
Dy  0.898  0.898  0.898
Co  0.500  0.500  0.500
Pd  0.000  0.000  0.000

- ΔE_f: 0.053 eV/atom
- V: 93 Å³/cell

***

20.
DFT (PBE-GGA) results for a relaxed MgFeRuRh crystal.

Lattice parameters (Å, degrees): 4.294 4.294 4.294 60.00 60.00 60.00
Sites, in units of the cell vectors:
Mg  0.000  0.000  0.000
Fe  0.500  0.500  0.500
Ru  0.750  0.750  0.750
Rh  0.250  0.250  0.250

- ΔE_f: -0.047 eV/atom
- V: 56 Å³/cell

***

21.
DFT (PBE-GGA) results for a relaxed LaRhBr2 crystal.

Lattice parameters (Å, degrees): 8.072 8.072 8.072 151.43 149.62 42.19
Sites, in units of the cell vectors:
La  0.000  0.000  0.000
Rh  0.500  0.500  0.000
Br  0.355  0.855  0.500
Br  0.645  0.145  0.500

- Offset from the most stable computed form: 200.9 meV per atom
- V: 127 Å³/cell
- Formation energy (no corrections): -934 meV per atom

***

22.
DFT (PBE-GGA) results for a relaxed Mn2AgRh crystal.

Lattice parameters (Å, degrees): 4.443 4.443 4.443 60.00 60.00 60.00
Sites, in units of the cell vectors:
Mn  0.000  0.000  0.000
Mn  0.250  0.250  0.250
Ag  0.500  0.500  0.500
Rh  0.750  0.750  0.750

- ΔE_f: 0.288 eV/atom
- V: 62 Å³/cell

***

23.
DFT (PBE-GGA) results for a relaxed BePtAu2 crystal.

Lattice parameters (Å, degrees): 4.801 4.801 4.801 130.84 130.84 72.08
Sites, in units of the cell vectors:
Be  0.000  0.000  0.000
Pt  0.250  0.750  0.500
Au  0.500  0.500  0.000
Au  0.750  0.250  0.500

- ΔE_f: -0.031 eV/atom
- V: 62 Å³/cell

***

24.
DFT (PBE-GGA) results for a relaxed TcTePb2 crystal.

Lattice parameters (Å, degrees): 5.309 5.309 3.749 90.00 90.00 90.00
Sites, in units of the cell vectors:
Tc  0.000  0.000  0.000
Te  0.500  0.500  0.000
Pb  0.000  0.500  0.500
Pb  0.500  0.000  0.500

- V: 106 Å³/cell
- Formation energy (no corrections): 664 meV per atom

***

25.
DFT (PBE-GGA) results for a relaxed SiTe crystal.

Lattice parameters (Å, degrees): 4.148 4.803 7.859 107.06 90.47 115.50
Sites, in units of the cell vectors:
Si  0.000  0.000  0.000
Si  0.361  0.721  0.999
Te  0.153  0.199  0.730
Te  0.323  0.522  0.270

- V: 133 Å³/cell
- Formation energy (no corrections): 34 meV per atom

***

26.
DFT (PBE-GGA) results for a relaxed CdCo crystal.

Lattice parameters (Å, degrees): 4.325 4.325 4.495 90.00 90.00 120.00
Sites, in units of the cell vectors:
Cd  0.333  0.667  0.250
Cd  0.667  0.333  0.750
Co  0.000  0.000  0.000
Co  0.000  0.000  0.500

- ΔE_f: 0.550 eV/atom
- V: 73 Å³/cell

***

27.
DFT (PBE-GGA) results for a relaxed Tl3CuAg2Cl6 crystal.

Lattice parameters (Å, degrees): 7.679 7.679 7.891 90.00 90.00 120.00
Sites, in units of the cell vectors:
Tl  0.000  0.000  0.000
Tl  0.333  0.667  0.603
Tl  0.667  0.333  0.397
Cu  0.000  0.000  0.500
Ag  0.333  0.667  0.205
Ag  0.667  0.333  0.795
Cl  0.154  0.309  0.309
Cl  0.154  0.846  0.309
Cl  0.309  0.154  0.691
Cl  0.691  0.846  0.309
Cl  0.846  0.154  0.691
Cl  0.846  0.691  0.691

- V: 403 Å³/cell
- Formation energy (no corrections): -587 meV per atom

***

| no. | calculated density (g/cm³) |
| --- | --- |
| 1 | 11.3 |
| 2 | 9.6 |
| 3 | 4.6 |
| 4 | 7.5 |
| 5 | 4.7 |
| 6 | 6.1 |
| 7 | 11.3 |
| 8 | 16.6 |
| 9 | 5.8 |
| 10 | 8.2 |
| 11 | 6.9 |
| 12 | 10.2 |
| 13 | 7.5 |
| 14 | 9.4 |
| 15 | 8.0 |
| 16 | 13.0 |
| 17 | 3.3 |
| 18 | 9.6 |
| 19 | 8.8 |
| 20 | 8.4 |
| 21 | 5.3 |
| 22 | 8.6 |
| 23 | 16.0 |
| 24 | 10.1 |
| 25 | 3.9 |
| 26 | 7.8 |
| 27 | 4.6 |